First-principles (meta-GGA SCAN) data for a crystal of AgPPt relaxed with PBEsol, as listed in the Alexandria database.

Computed properties:
The value obtained for the formation energy is -0.344 eV/f.u. The magnetic moment is 0.000 μB/atom.

Lattice parameters (Å, degrees): 3.9734 3.9734 3.5881 90.00 90.00 120.00
Space group P-6m2 (No. 187)
Inequivalent atoms, fractional coordinates:
1 Ag 0.0000 0.0000 0.0000 [1 per cell]
2 P 0.6667 0.3333 0.5000 [1 per cell]
3 Pt 0.3333 0.6667 0.5000 [1 per cell]